{"formula": "ScPa2Mo", "functional": "PBE-GGA", "state": "relaxed", "delta_e_f_ev_per_atom": 0.288, "magnetic_moment_mub_per_fu": 0.00, "space_group": "R-3m", "volume_a3_per_cell": 91.2, "lattice_angstrom": [[1.648, 0.951, 9.692], [-1.648, 0.951, 9.692], [0.000, -1.903, 9.692]], "species": ["Sc", "Pa", "Pa", "Mo"], "fractional_positions": [[0.000, 0.000, 0.000], [0.243, 0.243, 0.243], [0.757, 0.757, 0.757], [0.500, 0.500, 0.500]]}